# 1
VASP calculation (PBE) on a relaxed Er3ScTl3Se8 crystal.

The uncorrected energy is -226.26 eV for the cell shown. Its crystal system is trigonal. The value obtained for the density is 6.70 g/cm³. The density of states at the Fermi level is 19.24 states/eV/cell. The formation energy from raw total energies comes out at -1362 meV per atom.

Cell lengths 8.1753, 8.1753, 23.0269 Å; angles 90.00, 90.00, 120.00 degrees
Last column: nearest neighbours and their distance in Å.
Space group R-3m (No. 166, hexagonal axes)
Symmetry-distinct sites (fractional):
Er 0.0000 0.5000 0.0000 x9  6 Se 2.84-2.85
Sc 0.0000 0.0000 0.0000 x3  6 Se 2.76
Tl 0.0000 0.5000 0.5000 x9  6 Se 3.26-3.27
Se 0.0000 0.0000 0.2645 x6  3 Er 2.84
Se 0.0103 0.5051 0.7334 x18  1 Sc 2.76, 2 Er 2.85

=====

# 2
VASP calculation (PBE) on a relaxed Ba2Hg16Bi crystal.

The uncorrected energy is -48.21 eV for the cell shown. Its crystal system is trigonal. The value obtained for the density is 11.20 g/cm³. The density of states at the Fermi level is 22.03 states/eV/cell. Its calculated formation energy is -18 kJ per mole of atoms.

Cell lengths 10.6115, 10.6115, 16.8466 Å; angles 90.00, 90.00, 120.00 degrees
Last column: nearest neighbours and their distance in Å.
Space group R3m (No. 160, hexagonal axes)
Symmetry-distinct sites (fractional):
Ba 0.0000 0.0000 0.0000 x3  13 Hg 3.57-3.66
Ba 0.0000 0.0000 0.3324 x3  15 Hg 3.70-4.05
Hg 0.0000 0.0000 0.7830 x3  3 Hg 3.09, 1 Bi 3.16
Hg 0.0073 0.3062 0.6725 x18  5 Hg 3.09-3.40, 1 Bi 3.46
Hg 0.0332 0.5166 0.5326 x9  7 Hg 3.07-3.30
Hg 0.0504 0.5252 0.1549 x9  8 Hg 3.11-3.47, 1 Bi 3.16
Hg 0.0729 0.5365 0.8274 x9  6 Hg 3.07-3.40
Bi 0.0000 0.0000 0.5953 x3  10 Hg 3.16-3.46

=====

# 3
VASP calculation (PBE) on a relaxed Sr3VSb crystal.

The uncorrected energy is -16.88 eV for the cell shown. Its crystal system is cubic. The value obtained for the density is 2.96 g/cm³. The density of states at the Fermi level is 4.29 states/eV/cell. The formation energy from raw total energies comes out at 281 meV per atom. Its energy above the lowest structure with this stoichiometry is 0.000 eV per atom.

Cell lengths 6.2501, 6.2501, 6.2501 Å; angles 90.00, 90.00, 90.00 degrees
Last column: nearest neighbours and their distance in Å.
Space group Pm-3m (No. 221)
Symmetry-distinct sites (fractional):
Sr 0.0000 0.0000 0.5000 x3  2 Sb 3.13
V 0.5000 0.5000 0.5000 x1  12 Sr 4.42
Sb 0.0000 0.0000 0.0000 x1  6 Sr 3.13

=====

# 4
VASP calculation (PBE) on a relaxed Li2BeH4 crystal.

The uncorrected energy is -92.64 eV for the cell shown. Its crystal system is orthorhombic. The value obtained for the density is 0.69 g/cm³. The density of states at the Fermi level is 0.00 states/eV/cell. Its energy above the lowest structure with this stoichiometry is 0.000 eV per atom.

Cell lengths 6.3281, 6.3399, 6.4713 Å; angles 90.00, 90.00, 90.00 degrees
Last column: nearest neighbours and their distance in Å.
Space group Fmm2 (No. 42)
Symmetry-distinct sites (fractional):
Li 0.2500 0.2500 0.0000 x8  4 H 1.84
Be 0.0000 0.0000 0.2505 x4  4 H 1.43
H 0.0000 0.1898 0.1322 x8  1 Be 1.43
H 0.1899 0.0000 0.3689 x8  1 Be 1.43

=====

# 5
VASP calculation (PBE) on a relaxed HfMg2UN4 crystal.

The uncorrected energy is -67.61 eV for the cell shown. Its crystal system is monoclinic. The value obtained for the density is 8.85 g/cm³. The density of states at the Fermi level is 3.56 states/eV/cell. The formation energy from raw total energies comes out at -1234 meV per atom.

Cell lengths 5.5528, 3.2731, 5.7100 Å; angles 90.00, 109.66, 90.00 degrees
Last column: nearest neighbours and their distance in Å.
Space group P2/m (No. 10)
Symmetry-distinct sites (fractional):
Hf 0.0000 0.0000 0.0000 x1  6 N 2.24-2.26
Mg 0.5000 0.0000 0.5000 x1  6 N 2.35-2.36
Mg 0.5000 0.5000 0.0000 x1  6 N 2.29-2.34
U 0.0000 0.5000 0.5000 x1  6 N 2.27-2.32
N 0.2366 0.5000 0.2443 x2  2 Hf 2.26, 1 U 2.27, 3 Mg 2.34-2.35
N 0.2460 0.0000 0.7589 x2  1 Hf 2.24, 3 Mg 2.29-2.36, 2 U 2.32

=====

# 6
VASP calculation (PBE) on a relaxed PrY2Sn crystal.

The uncorrected energy is -23.01 eV for the cell shown. Its crystal system is tetragonal. The value obtained for the density is 5.91 g/cm³. The density of states at the Fermi level is 5.50 states/eV/cell. Its calculated formation energy is -31 kJ per mole of atoms. Its energy above the lowest structure with this stoichiometry is 0.105 eV per atom.

Cell lengths 3.8309, 3.8309, 8.3689 Å; angles 90.00, 90.00, 90.00 degrees
Last column: nearest neighbours and their distance in Å.
Space group P4/mmm (No. 123)
Symmetry-distinct sites (fractional):
Pr 0.0000 0.0000 0.0000 x1  8 Y 3.62, 4 Pr 3.83
Y 0.5000 0.5000 0.2865 x2  4 Sn 3.24, 1 Y 3.57, 4 Pr 3.62
Sn 0.0000 0.0000 0.5000 x1  8 Y 3.24

=====

# 7
VASP calculation (PBE) on a relaxed Ba2NaCa2 crystal.

The uncorrected energy is -15.01 eV for the cell shown. Its crystal system is tetragonal. The value obtained for the density is 2.24 g/cm³. The density of states at the Fermi level is 17.56 states/eV/cell. Its calculated formation energy is 32 kJ per mole of atoms. Its energy above the lowest structure with this stoichiometry is 0.308 eV per atom.

Cell lengths 5.3140, 5.3140, 19.8762 Å; angles 90.00, 90.00, 90.00 degrees
Last column: nearest neighbours and their distance in Å.
Space group I4/mmm (No. 139)
Symmetry-distinct sites (fractional):
Ba 0.0000 0.5000 0.2500 x4  4 Ba 3.76, 4 Ca 4.10
Na 0.0000 0.0000 0.0000 x2  8 Ca 4.19
Ca 0.0000 0.0000 0.4072 x4  1 Ca 3.69, 4 Ba 4.10

=====

# 8
VASP calculation (PBE) on a relaxed ScTa2Co crystal.

The uncorrected energy is -36.79 eV for the cell shown. Its crystal system is orthorhombic. The value obtained for the density is 11.38 g/cm³. The density of states at the Fermi level is 4.53 states/eV/cell. Its calculated formation energy is 8 kJ per mole of atoms. Its energy above the lowest structure with this stoichiometry is 0.140 eV per atom.

Cell lengths 3.1742, 4.4607, 4.7989 Å; angles 90.00, 90.00, 90.00 degrees
Last column: nearest neighbours and their distance in Å.
Space group Pmmm (No. 47)
Symmetry-distinct sites (fractional):
Sc 0.0000 0.0000 0.0000 x1  4 Co 2.74, 4 Ta 2.88
Ta 0.0000 0.5000 0.5000 x1  4 Ta 2.74, 4 Co 2.88
Ta 0.5000 0.0000 0.5000 x1  4 Ta 2.74, 4 Sc 2.88
Co 0.5000 0.5000 0.0000 x1  4 Sc 2.74, 4 Ta 2.88